Entry from Alexandria: NdSmY2Te6 after structural relaxation (PBE).

Lattice parameters (Å, degrees): 7.8127 7.8127 21.2504 90.00 90.00 120.00
Space group R3 (No. 146, hexagonal axes)
One atom of each set of equivalent atoms:
Nd: 0.0000 0.0000 0.0000 [3 per cell]
Sm: 0.0000 0.0000 0.4986 [3 per cell]
Y: 0.0000 0.0000 0.3101 [3 per cell]
Y: 0.0000 0.0000 0.8111 [3 per cell]
Te: 0.0108 0.3177 0.9018 [9 per cell]
Te: 0.0161 0.6509 0.0687 [9 per cell]

Results
The calculation puts the formation energy from raw total energies at -1381.7 meV/atom. The value obtained for the magnetization is 0.0 μB/cell. The value obtained for the total energy is -5.508 eV per atom. As for the crystal system: trigonal.